[1]
Below is a relaxed MgB6Ir6 crystal, with properties calculated at the GGA-PBE level.

Values from the calculation:
**Crystal system**: orthorhombic
**Formation energy from the elements**: 0.277 eV/atom
**Calculated volume**: 141.2 Å³/cell
**Magnetization**: 0.00 Bohr magnetons per cell
**DFT total energy**: -7.02 eV per atom

The structure in CIF format:
```
data_MgB6Ir6
_cell_length_a 5.971
_cell_length_b 5.971
_cell_length_c 5.971
_cell_angle_alpha 133.88
_cell_angle_beta 99.55
_cell_angle_gamma 98.10
_space_group_name_H-M_alt 'P 1'
_space_group_IT_number 1
_space_group_name_Hall 'P 1'
loop_
_atom_site_label
_atom_site_fract_x
_atom_site_fract_y
_atom_site_fract_z
Mg1 0.000 0.000 0.000
B1 0.000 0.000 0.500
B2 0.000 0.500 0.000
B3 0.232 0.500 0.732
B4 0.500 0.000 0.000
B5 0.500 0.500 0.500
B6 0.768 0.500 0.268
Ir1 0.177 0.677 0.500
Ir2 0.325 0.000 0.325
Ir3 0.333 0.333 0.000
Ir4 0.667 0.667 0.000
Ir5 0.675 0.000 0.675
Ir6 0.823 0.323 0.500
```

***

[2]
Below is a relaxed TbGd2Sn crystal, with properties calculated at the GGA-PBE level.

Values from the calculation:
**Crystal system**: cubic
**Formation energy from the elements**: -0.271 eV/atom
**Calculated volume**: 457.0 Å³/cell
**Magnetization**: 61.13 Bohr magnetons per cell
**Relative energy among the computed polymorphs**: 0.1734 eV per atom
**DFT total energy**: -9.47 eV per atom

The structure in CIF format:
```
data_TbGd2Sn
_cell_length_a 7.703
_cell_length_b 7.703
_cell_length_c 7.703
_cell_angle_alpha 90.00
_cell_angle_beta 90.00
_cell_angle_gamma 90.00
_space_group_name_H-M_alt 'P 1'
_space_group_IT_number 1
_space_group_name_Hall 'P 1'
loop_
_atom_site_label
_atom_site_fract_x
_atom_site_fract_y
_atom_site_fract_z
Tb1 0.000 0.000 0.000
Tb2 0.000 0.500 0.500
Tb3 0.500 0.000 0.500
Tb4 0.500 0.500 0.000
Gd1 0.250 0.250 0.250
Gd2 0.250 0.250 0.750
Gd3 0.250 0.750 0.250
Gd4 0.250 0.750 0.750
Gd5 0.750 0.250 0.250
Gd6 0.750 0.250 0.750
Gd7 0.750 0.750 0.250
Gd8 0.750 0.750 0.750
Sn1 0.000 0.000 0.500
Sn2 0.000 0.500 0.000
Sn3 0.500 0.000 0.000
Sn4 0.500 0.500 0.500
```

***

[3]
Below is a relaxed Ca4MgTl3 crystal, with properties calculated at the GGA-PBE level.

Values from the calculation:
**Crystal system**: trigonal
**Formation energy from the elements**: -0.371 eV/atom
**Calculated volume**: 235.6 Å³/cell
**Magnetization**: 0.00 Bohr magnetons per cell
**DFT total energy**: -2.46 eV per atom

The structure in CIF format:
```
data_Ca4MgTl3
_cell_length_a 9.539
_cell_length_b 9.539
_cell_length_c 9.539
_cell_angle_alpha 33.51
_cell_angle_beta 33.51
_cell_angle_gamma 33.51
_space_group_name_H-M_alt 'P 1'
_space_group_IT_number 1
_space_group_name_Hall 'P 1'
loop_
_atom_site_label
_atom_site_fract_x
_atom_site_fract_y
_atom_site_fract_z
Ca1 0.122 0.122 0.122
Ca2 0.373 0.373 0.373
Ca3 0.627 0.627 0.627
Ca4 0.878 0.878 0.878
Mg1 0.500 0.500 0.500
Tl1 0.000 0.000 0.000
Tl2 0.245 0.245 0.245
Tl3 0.755 0.755 0.755
```